Density functional theory data (GGA-PBE) for an optimized crystal structure of Pm2Dy6Zn.

Geometry as extended XYZ:
```
18
Lattice="-4.227 -2.550 2.222 5.239 -1.625 8.102 -3.286 8.852 3.900" Properties=species:S:1:pos:R:3 pbc="T T T"
Pm -5.078 3.614 7.672
Pm -0.324 4.020 10.587
Pm -1.951 0.658 3.637
Pm 2.803 1.064 6.552
Dy -4.757 -0.913 3.090
Dy -2.492 1.390 10.038
Dy -3.848 4.353 10.855
Dy -3.395 3.853 4.554
Dy -4.172 6.636 6.268
Dy -0.433 0.648 6.515
Dy 2.482 5.591 11.134
Dy 0.218 3.288 4.186
Dy 1.574 0.325 3.369
Dy 1.121 0.825 9.669
Dy 1.898 -1.958 7.956
Dy -1.842 4.030 7.709
Zn 0.506 -2.087 5.162
Zn -1.643 4.426 1.950
```

Output
ΔE_f: 28 meV/atom
space group: Pnnm (58)
energy: -38.13 eV per formula unit
D(E_F): 1.4725 states/eV/atom



Density functional theory data (GGA-PBE) for an optimized crystal structure of AgAsW2.

Geometry as extended XYZ:
```
4
Lattice="-2.594 -3.127 1.963 2.864 -2.554 -0.283 1.307 1.083 3.453" Properties=species:S:1:pos:R:3 pbc="T T T"
As -0.643 -1.022 2.708
Ag 0.135 -2.840 0.840
W 0.000 0.000 0.000
W 2.086 -0.735 1.585
```

Output
ΔE_f: 819 meV/atom
space group: P4/mmm (123)
energy: -30.13 eV per formula unit
D(E_F): 0.7224 states/eV/atom



Density functional theory data (GGA-PBE) for an optimized crystal structure of IrC3.

Geometry as extended XYZ:
```
16
Lattice="4.058 0.000 0.000 -2.029 3.515 0.000 0.000 0.000 18.174" Properties=species:S:1:pos:R:3 pbc="T T T"
C 2.029 0.000 0.000
C 2.029 0.000 9.087
C -1.015 1.757 0.000
C 1.015 1.757 0.000
C 1.015 1.757 9.087
C -1.015 1.757 9.087
C 2.029 2.675 4.544
C 0.000 0.839 13.631
C 0.727 0.420 4.544
C 3.331 0.420 4.544
C -1.302 3.095 13.631
C 1.302 3.095 13.631
Ir 0.000 0.000 0.000
Ir 0.000 0.000 9.087
Ir 0.000 2.343 4.544
Ir 2.029 1.172 13.631
```

Output
ΔE_f: 2197 meV/atom
space group: P6_3/mmc (194)
energy: -27.75 eV per formula unit
D(E_F): 0.3154 states/eV/atom



Density functional theory data (GGA-PBE) for an optimized crystal structure of Cs2Ba4Ag.

Geometry as extended XYZ:
```
7
Lattice="6.663 0.000 0.000 0.000 6.663 0.000 3.332 3.332 12.216" Properties=species:S:1:pos:R:3 pbc="T T T"
Cs 6.663 6.663 8.148
Cs 3.332 3.332 4.068
Ba 6.663 6.663 3.244
Ba 3.332 3.332 8.973
Ba 0.000 3.332 0.000
Ba 3.332 0.000 0.000
Ag 0.000 0.000 0.000
```

Output
ΔE_f: 82 meV/atom
space group: I4/mmm (139)
energy: -11.68 eV per formula unit
D(E_F): 1.1935 states/eV/atom



Density functional theory data (GGA-PBE) for an optimized crystal structure of Er8Ga2Cu.

Geometry as extended XYZ:
```
11
Lattice="-2.941 -3.389 2.030 0.137 -3.452 -5.565 8.506 -1.708 3.498" Properties=species:S:1:pos:R:3 pbc="T T T"
Er 5.816 -4.642 0.676
Er 0.835 -6.109 -3.016
Er 2.744 -6.060 -0.168
Er 5.274 -5.717 4.071
Er 2.958 -2.489 0.131
Er 4.867 -2.439 2.979
Er -0.115 -3.906 -0.713
Er 0.428 -2.831 -4.108
Ga 2.939 -4.662 2.450
Ga 2.763 -3.887 -2.486
Cu -1.471 -1.695 1.015
```

Output
ΔE_f: -238 meV/atom
space group: C2/m (12)
energy: -49.27 eV per formula unit
D(E_F): 0.9447 states/eV/atom



Density functional theory data (GGA-PBE) for an optimized crystal structure of AcGdGaSb.

Geometry as extended XYZ:
```
4
Lattice="5.498 0.000 0.000 2.749 4.761 0.000 2.749 1.587 4.489" Properties=species:S:1:pos:R:3 pbc="T T T"
Sb 2.749 1.587 1.122
Ac 0.000 0.000 0.000
Gd 5.498 3.174 2.244
Ga 8.247 4.761 3.367
```

Output
space group: F-43m (216)
energy: -27.70 eV per formula unit
E_form (uncorrected): -56.9 kJ/mol of atoms
D(E_F): 1.1671 states/eV/atom



Density functional theory data (GGA-PBE) for an optimized crystal structure of In3ReBr.

Geometry as extended XYZ:
```
5
Lattice="-2.900 4.362 -0.859 -3.399 -1.514 3.786 2.866 2.619 3.620" Properties=species:S:1:pos:R:3 pbc="T T T"
Re 0.000 0.000 0.000
Br -1.717 2.734 3.273
In -1.700 -0.757 1.893
In 1.433 1.309 1.810
In -1.450 2.181 -0.430
```

Output
space group: Pm-3m (221)
energy: -20.61 eV per formula unit
E_form (uncorrected): 33.2 kJ/mol of atoms
D(E_F): 0.9754 states/eV/atom



Density functional theory data (GGA-PBE) for an optimized crystal structure of Ni4As.

Geometry as extended XYZ:
```
10
Lattice="0.705 3.081 -2.088 -0.050 -2.757 -4.083 -6.447 0.833 2.489" Properties=species:S:1:pos:R:3 pbc="T T T"
Ni -1.208 -0.495 -1.137
Ni -4.584 1.652 -2.545
Ni 0.352 1.540 -1.044
Ni 0.327 0.162 -3.086
Ni -2.010 1.908 -1.298
Ni -3.783 -0.752 -2.385
Ni -3.758 0.595 -0.390
Ni -2.034 0.562 -3.293
As -4.382 3.001 -0.486
As -1.411 -1.844 -3.196
```

Output
ΔE_f: -20 meV/atom
space group: Imma (74)
energy: -27.88 eV per formula unit
D(E_F): 1.3734 states/eV/atom



Density functional theory data (GGA-PBE) for an optimized crystal structure of Sm5YAl2.

Geometry as extended XYZ:
```
8
Lattice="-1.421 -3.348 -0.030 3.435 -3.493 6.680 -6.237 0.624 5.416" Properties=species:S:1:pos:R:3 pbc="T T T"
Sm -1.401 -1.434 6.048
Sm 0.189 -4.072 4.595
Sm -4.412 -2.144 7.471
Sm -0.202 -3.936 8.022
Sm -4.022 -2.280 4.045
Y 0.000 0.000 0.000
Al -3.204 -4.649 9.371
Al -1.019 -1.567 2.695
```

Output
ΔE_f: -76 meV/atom
space group: Immm (71)
energy: -38.15 eV per formula unit
D(E_F): 1.3332 states/eV/atom



Density functional theory data (GGA-PBE) for an optimized crystal structure of Tc2AsPd.

Geometry as extended XYZ:
```
8
Lattice="5.723 0.000 0.000 0.000 5.723 0.000 2.862 2.862 5.272" Properties=species:S:1:pos:R:3 pbc="T T T"
As 2.862 2.862 0.000
As 2.862 5.723 2.636
Tc 4.257 1.431 1.318
Tc 1.467 4.292 1.318
Tc 4.292 4.328 3.954
Tc 7.154 7.118 3.954
Pd 0.000 0.000 0.000
Pd 5.723 2.862 2.636
```

Output
ΔE_f: 1032 meV/atom
space group: I-42d (122)
energy: -26.45 eV per formula unit
D(E_F): 1.1308 states/eV/atom



Density functional theory data (GGA-PBE) for an optimized crystal structure of Li2GaRu2.

Geometry as extended XYZ:
```
10
Lattice="-4.573 3.904 1.746 -4.032 -3.083 -3.666 -0.925 -2.467 3.092" Properties=species:S:1:pos:R:3 pbc="T T T"
Ru -5.195 -1.239 -2.543
Ru -6.519 1.450 -0.793
Ru -3.410 2.059 0.623
Ru -2.087 -0.630 -1.127
Ga 0.000 0.000 0.000
Ga -4.303 0.410 -0.960
Li -3.906 -2.639 -0.606
Li -6.871 -1.206 -0.349
Li -5.625 0.992 1.778
Li -2.659 -0.441 1.522
```

Output
ΔE_f: 174 meV/atom
space group: P4/mbm (127)
energy: -24.54 eV per formula unit
D(E_F): 0.7301 states/eV/atom



Density functional theory data (GGA-PBE) for an optimized crystal structure of CrAgSnSe4.

Geometry as extended XYZ:
```
14
Lattice="7.722 0.000 0.000 3.861 6.826 0.039 3.861 2.117 6.489" Properties=species:S:1:pos:R:3 pbc="T T T"
Cr 5.791 1.059 3.245
Cr 1.930 1.059 3.245
Ag 7.722 4.397 0.738
Ag 7.722 4.546 5.791
Sn 0.000 0.000 0.000
Sn 3.861 4.471 3.264
Se 11.583 6.846 4.634
Se 7.722 6.915 4.685
Se 7.722 2.028 1.844
Se 3.861 2.097 1.895
Se 5.747 5.819 1.777
Se 9.697 5.819 1.777
Se 5.747 3.124 4.752
Se 9.697 3.124 4.752
```

Output
space group: Imma (74)
energy: -33.18 eV per formula unit
E_form (uncorrected): -38.0 kJ/mol of atoms
D(E_F): 0.2969 states/eV/atom